Computed, not measured: a PBEsol-optimized structure of ScZnPt at the SCAN level of DFT.

Cell: 3.394 3.394 8.443 Å, 90.00 90.00 90.00°
Positions (direct):
Sc 0.000 0.000 0.000
Sc 0.500 0.500 0.500
Zn 0.000 0.000 0.677
Zn 0.500 0.500 0.177
Pt 0.000 0.000 0.340
Pt 0.500 0.500 0.840

Calculated values
Space group: I4mm, No. 107
E_form in eV/atom: -0.9996

=====

Computed, not measured: a PBEsol-optimized structure of TbGaPt at the SCAN level of DFT.

Cell: 6.843 4.389 7.585 Å, 90.00 90.00 90.00°
Positions (direct):
Tb 0.016 0.250 0.197
Tb 0.484 0.750 0.697
Tb 0.516 0.250 0.303
Tb 0.984 0.750 0.803
Ga 0.171 0.250 0.576
Ga 0.329 0.750 0.076
Ga 0.671 0.250 0.924
Ga 0.829 0.750 0.424
Pt 0.222 0.750 0.402
Pt 0.278 0.250 0.902
Pt 0.722 0.750 0.098
Pt 0.778 0.250 0.598

Calculated values
Space group: Pnma, No. 62
E_form in eV/atom: -1.3213

=====

Computed, not measured: a PBEsol-optimized structure of TaTi2Si2 at the SCAN level of DFT.

Cell: 6.663 6.663 3.358 Å, 90.00 90.00 90.00°
Positions (direct):
Ta 0.000 0.000 0.000
Ta 0.500 0.500 0.000
Ti 0.173 0.327 0.500
Ti 0.327 0.827 0.500
Ti 0.673 0.173 0.500
Ti 0.827 0.673 0.500
Si 0.126 0.626 0.000
Si 0.374 0.126 0.000
Si 0.626 0.874 0.000
Si 0.874 0.374 0.000

Calculated values
Space group: P4/mbm, No. 127
Energy relative to the elements, uncorrected in eV per atom: -0.753

=====

Computed, not measured: a PBEsol-optimized structure of VP2O7 at the SCAN level of DFT.

Cell: 6.293 6.319 6.905 Å, 92.85 117.04 90.63°
Positions (direct):
V 0.095 0.351 0.203
V 0.905 0.649 0.797
P 0.224 0.859 0.280
P 0.321 0.630 0.657
P 0.679 0.370 0.343
P 0.776 0.141 0.720
O 0.057 0.665 0.123
O 0.080 0.063 0.212
O 0.213 0.822 0.504
O 0.219 0.636 0.818
O 0.224 0.435 0.494
O 0.408 0.354 0.224
O 0.463 0.861 0.292
O 0.537 0.139 0.708
O 0.592 0.646 0.776
O 0.776 0.565 0.506
O 0.781 0.364 0.182
O 0.787 0.178 0.496
O 0.920 0.937 0.788
O 0.943 0.335 0.877

Calculated values
Space group: P-1, No. 2
Energy relative to the elements, uncorrected in eV per atom: -2.396